[1]
Entry from Alexandria via LeMat-Bulk: a relaxed structure of AuBrO (GGA-PBE).

Cell lengths 5.1448, 5.7125, 6.1265 Å; angles 91.08, 100.48, 115.45 degrees
Last column: nearest neighbours and their distance in Å.
Space group P-1 (No. 2)
Inequivalent atoms, fractional coordinates:
Au1 0.0000 0.0000 0.0000 x1  2 Br 2.49
Au2 0.5000 0.5000 0.0000 x1  2 O 2.04
Br1 0.2367 0.8741 0.7285 x2  1 O 1.83
O1 0.1980 0.5425 0.7592 x2  1 Br 1.83, 1 Au 2.04

The uncorrected formation energy comes out at 247 meV per atom. The calculation puts the density of states at the Fermi level at 0.0 states/eV per cell.

---

[2]
Entry from Alexandria via LeMat-Bulk: a relaxed structure of Tb15Sm2Th2 (GGA-PBE).

Cell lengths 11.1603, 11.1603, 17.8298 Å; angles 90.00, 90.00, 120.00 degrees
Last column: nearest neighbours and their distance in Å.
Space group R-3m (No. 166, hexagonal axes)
Inequivalent atoms, fractional coordinates:
Tb1 0.0000 0.2985 0.0000 x18  6 Tb 3.31-3.42, 2 Th 3.67
Tb2 0.0000 0.5000 0.5000 x9  8 Tb 3.33-3.42, 2 Th 3.52
Tb3 0.0122 0.5061 0.1358 x18  6 Tb 3.29-3.33
Sm1 0.0000 0.0000 0.3194 x6  15 Tb 3.94-4.22, 1 Th 4.14
Th1 0.0000 0.0000 0.0869 x6  1 Th 3.10

The formation energy is 0.28 eV/atom. The calculation puts the density of states at the Fermi level at 91.3 states/eV per cell.

---

[3]
Entry from Alexandria via LeMat-Bulk: a relaxed structure of SbIrSeN2 (GGA-PBE).

Cell lengths 3.8024, 3.8024, 7.9684 Å; angles 90.00, 90.00, 90.00 degrees
Last column: nearest neighbours and their distance in Å.
Space group P4/mmm (No. 123)
Inequivalent atoms, fractional coordinates:
Sb1 0.0000 0.0000 0.0000 x1  4 Se 2.69
Ir1 0.5000 0.5000 0.5000 x1  4 N 1.90
Se1 0.5000 0.5000 0.0000 x1  4 Sb 2.69
N1 0.0000 0.5000 0.5000 x2  2 Ir 1.90

The uncorrected formation energy comes out at 875 meV per atom. The calculation puts the density of states at the Fermi level at 2.8 states/eV per cell.

---

[4]
Entry from Alexandria via LeMat-Bulk: a relaxed structure of Dy3Si2Ni2 (GGA-PBE).

Cell lengths 5.5091, 7.7274, 12.4841 Å; angles 90.00, 90.00, 90.00 degrees
Last column: nearest neighbours and their distance in Å.
Space group Pbcm (No. 57)
Inequivalent atoms, fractional coordinates:
Dy1 0.1328 0.1081 0.1023 x8  4 Ni 2.81-3.09, 2 Si 2.92-2.93
Dy2 0.3633 0.7489 0.7500 x4  5 Si 2.88-3.12, 4 Ni 2.95-2.99
Si1 0.1589 0.0979 0.7500 x4  2 Ni 2.41
Si2 0.3584 0.7500 0.0000 x4  4 Ni 2.45-2.47
Ni1 0.3833 0.0354 0.5887 x8  3 Si 2.41-2.47, 1 Ni 2.62

The uncorrected formation energy comes out at -720 meV per atom. The calculation puts the density of states at the Fermi level at 21.6 states/eV per cell.

---

[5]
Entry from Alexandria via LeMat-Bulk: a relaxed structure of Pm2PrTm7 (GGA-PBE).

Cell lengths 6.1487, 7.0688, 7.8868 Å; angles 102.68, 97.38, 106.78 degrees
Last column: nearest neighbours and their distance in Å.
Space group P-1 (No. 2)
Inequivalent atoms, fractional coordinates:
Pm1 0.1014 0.2024 0.2032 x2  9 Tm 3.50-3.56, 2 Pr 3.56, 1 Pm 3.59
Pr1 0.5000 0.0000 0.0000 x1  8 Tm 3.53-3.56, 4 Pm 3.56
Tm1 0.0984 0.6996 0.2018 x2  8 Tm 3.51-3.56, 3 Pm 3.52-3.56, 1 Pr 3.55
Tm2 0.2994 0.5981 0.5977 x2  3 Pm 3.50-3.55, 8 Tm 3.51-3.55, 1 Pr 3.56
Tm3 0.3009 0.1007 0.5994 x2  2 Pm 3.51-3.54, 9 Tm 3.52-3.56, 1 Pr 3.53
Tm4 0.5000 0.5000 0.0000 x1  2 Pr 3.53, 2 Pm 3.54, 8 Tm 3.54-3.56

The formation energy is 0.02 eV/atom. The calculation puts the density of states at the Fermi level at 12.5 states/eV per cell.

---

[6]
Entry from Alexandria via LeMat-Bulk: a relaxed structure of K2LiPb (GGA-PBE).

Cell lengths 6.6982, 11.0092, 4.0505 Å; angles 90.00, 91.05, 90.00 degrees
Last column: nearest neighbours and their distance in Å.
Space group C2/m (No. 12)
Inequivalent atoms, fractional coordinates:
K1 0.2500 0.2500 0.0000 x4  2 K 3.35
Li1 0.0000 0.0000 0.5000 x2  2 Pb 3.35
Pb1 0.0000 0.5000 0.5000 x2  2 Li 3.35

The formation energy is 0.04 eV/atom. The calculation puts the density of states at the Fermi level at 5.7 states/eV per cell.

---

[7]
Entry from Alexandria via LeMat-Bulk: a relaxed structure of Y6Ga17Pd5 (GGA-PBE).

Cell lengths 15.8345, 4.2742, 15.7562 Å; angles 90.00, 104.60, 90.00 degrees
Last column: nearest neighbours and their distance in Å.
Space group C2/m (No. 12)
Inequivalent atoms, fractional coordinates:
Y1 0.0918 0.0000 0.4056 x4  4 Pd 3.08-3.16, 8 Ga 3.09-3.13
Y2 0.1014 0.5000 0.9021 x4  11 Ga 3.06-3.38, 2 Pd 3.07
Y3 0.2467 0.0000 0.2505 x4  12 Ga 3.17-3.21, 2 Pd 3.53
Ga1 0.0000 0.0000 0.0000 x2  4 Ga 2.73, 4 Pd 2.79
Ga2 0.0385 0.0000 0.1786 x4  4 Ga 2.58-2.73, 2 Pd 2.76
Ga3 0.0469 0.5000 0.6735 x4  3 Ga 2.63-2.77, 3 Pd 2.65-2.68
Ga4 0.1011 0.5000 0.2635 x4  4 Ga 2.55-2.77, 1 Pd 2.63
Ga5 0.1084 0.0000 0.7654 x4  4 Ga 2.53-2.69, 1 Pd 2.53
Ga6 0.1742 0.5000 0.5434 x4  3 Ga 2.64-2.68, 3 Pd 2.67
Ga7 0.1783 0.0000 0.0403 x4  4 Ga 2.57-2.73, 2 Pd 2.79
Ga8 0.2314 0.5000 0.3974 x4  4 Ga 2.55-2.68, 1 Pd 2.57
Ga9 0.2405 0.0000 0.8949 x4  4 Ga 2.53-2.71, 1 Pd 2.62
Pd1 0.0000 0.5000 0.5000 x2  4 Ga 2.65-2.67, 4 Pd 2.96
Pd2 0.0915 0.5000 0.0943 x4  8 Ga 2.62-2.79
Pd3 0.1070 0.0000 0.6044 x4  6 Ga 2.53-2.68

The formation energy is -0.69 eV/atom. The calculation puts the density of states at the Fermi level at 14.5 states/eV per cell.

---

[8]
Entry from Alexandria via LeMat-Bulk: a relaxed structure of MnBeSeN2 (GGA-PBE).

Cell lengths 3.5201, 3.5201, 5.4109 Å; angles 90.00, 90.00, 90.00 degrees
Last column: nearest neighbours and their distance in Å.
Space group P4/mmm (No. 123)
Inequivalent atoms, fractional coordinates:
Mn1 0.0000 0.0000 0.0000 x1  4 N 1.76
Be1 0.5000 0.5000 0.5000 x1  4 Se 2.49
Se1 0.0000 0.0000 0.5000 x1  4 Be 2.49, 2 Mn 2.71
N1 0.0000 0.5000 0.0000 x2  2 Mn 1.76

The uncorrected formation energy comes out at 581 meV per atom. The calculation puts the density of states at the Fermi level at 2.9 states/eV per cell.

---

[9]
Entry from Alexandria via LeMat-Bulk: a relaxed structure of KSr2N (GGA-PBE).

Cell lengths 8.0268, 8.0268, 11.2691 Å; angles 90.00, 90.00, 90.00 degrees
Last column: nearest neighbours and their distance in Å.
Space group I-42d (No. 122)
Inequivalent atoms, fractional coordinates:
K1 0.0000 0.0000 0.0000 x4  12 Sr 4.48-4.93, 4 K 4.90, 4 N 4.90
Sr1 0.0333 0.7500 0.6250 x8  2 N 2.47
N1 0.0000 0.0000 0.5000 x4  4 Sr 2.47

The uncorrected formation energy comes out at -178 meV per atom. The calculation puts the density of states at the Fermi level at 8.7 states/eV per cell.

---

[10]
Entry from Alexandria via LeMat-Bulk: a relaxed structure of AcSm5Mg4 (GGA-PBE).

Cell lengths 3.8525, 3.8525, 20.6455 Å; angles 90.00, 90.00, 90.00 degrees
Last column: nearest neighbours and their distance in Å.
Space group P4/mmm (No. 123)
Inequivalent atoms, fractional coordinates:
Ac1 0.0000 0.0000 0.0000 x1  8 Sm 3.80, 4 Ac 3.85
Sm1 0.5000 0.5000 0.1284 x2  4 Mg 3.34
Sm2 0.5000 0.5000 0.3146 x2  8 Mg 3.33
Sm3 0.5000 0.5000 0.5000 x1  8 Mg 3.33
Mg1 0.0000 0.0000 0.2216 x2  8 Sm 3.33-3.34
Mg2 0.0000 0.0000 0.4071 x2  8 Sm 3.33

The formation energy is -0.07 eV/atom. The calculation puts the density of states at the Fermi level at 12.9 states/eV per cell.

---

[11]
Entry from Alexandria via LeMat-Bulk: a relaxed structure of PaTcGe2 (GGA-PBE).

Cell lengths 6.7406, 4.3619, 10.4026 Å; angles 90.00, 90.00, 90.00 degrees
Last column: nearest neighbours and their distance in Å.
Space group Pnma (No. 62)
Inequivalent atoms, fractional coordinates:
Pa1 0.2079 0.2500 0.1306 x4  8 Ge 3.00-3.25, 3 Tc 3.01-3.11
Tc1 0.0131 0.7500 0.3923 x4  5 Ge 2.46-2.62
Ge1 0.1102 0.2500 0.8306 x4  2 Tc 2.46-2.62, 2 Ge 2.66
Ge2 0.2096 0.2500 0.4189 x4  3 Tc 2.47-2.57, 2 Ge 2.66

The formation energy is -0.42 eV/atom. The calculation puts the density of states at the Fermi level at 11.0 states/eV per cell.

---

[12]
Entry from Alexandria via LeMat-Bulk: a relaxed structure of RbPIO2 (GGA-PBE).

Cell lengths 4.3804, 4.3804, 5.2384 Å; angles 90.00, 90.00, 90.00 degrees
Last column: nearest neighbours and their distance in Å.
Space group P4/mmm (No. 123)
Inequivalent atoms, fractional coordinates:
Rb1 0.0000 0.0000 0.0000 x1  4 P 3.10, 8 O 3.41
P1 0.5000 0.5000 0.0000 x1  2 I 2.62
I1 0.5000 0.5000 0.5000 x1  4 O 2.19
O1 0.0000 0.5000 0.5000 x2  2 I 2.19

The uncorrected formation energy comes out at 128 meV per atom. The calculation puts the density of states at the Fermi level at 2.6 states/eV per cell.

---

[13]
Entry from Alexandria via LeMat-Bulk: a relaxed structure of NiTeSe3 (GGA-PBE).

Cell lengths 5.3136, 5.3136, 5.3136 Å; angles 90.00, 90.00, 90.00 degrees
Last column: nearest neighbours and their distance in Å.
Space group Pm-3m (No. 221)
Inequivalent atoms, fractional coordinates:
Ni1 0.0000 0.0000 0.0000 x1  12 Se 3.76
Te1 0.5000 0.5000 0.5000 x1  6 Se 2.66
Se1 0.0000 0.5000 0.5000 x3  2 Te 2.66

The uncorrected formation energy comes out at 1066 meV per atom. The calculation puts the density of states at the Fermi level at 16.0 states/eV per cell.

---

[14]
Entry from Alexandria via LeMat-Bulk: a relaxed structure of AsSeCl2 (GGA-PBE).

Cell lengths 4.0263, 4.0263, 7.3968 Å; angles 90.00, 90.00, 90.00 degrees
Last column: nearest neighbours and their distance in Å.
Space group P4mm (No. 99)
Inequivalent atoms, fractional coordinates:
As1 0.0000 0.0000 0.0000 x1  1 Cl 2.21
Se1 0.5000 0.5000 0.9876 x1  1 Cl 2.21
Cl1 0.0000 0.0000 0.7010 x1  1 As 2.21
Cl2 0.5000 0.5000 0.2863 x1  1 Se 2.21

The uncorrected formation energy comes out at -188 meV per atom. The calculation puts the density of states at the Fermi level at 0.8 states/eV per cell.

---

[15]
Entry from Alexandria via LeMat-Bulk: a relaxed structure of LiTbPbS3 (GGA-PBE).

Cell lengths 8.3444, 3.9994, 8.5974 Å; angles 90.00, 102.05, 90.00 degrees
Last column: nearest neighbours and their distance in Å.
Space group P2_1/m (No. 11)
Inequivalent atoms, fractional coordinates:
Li1 0.0835 0.2500 0.0853 x2  4 S 2.40-2.41
Tb1 0.3330 0.7500 0.3306 x2  6 S 2.72-2.81
Pb1 0.1853 0.2500 0.7313 x2  7 S 3.03-3.19, 1 Li 3.33
S1 0.1165 0.2500 0.3691 x2  1 Li 2.40
S2 0.2092 0.7500 0.0114 x2  3 Li 2.40-2.41
S3 0.4344 0.7500 0.6631 x2  3 Tb 2.78-2.81, 2 Pb 3.03

The uncorrected formation energy comes out at -1342 meV per atom. The calculation puts the density of states at the Fermi level at 0.0 states/eV per cell.

---

[16]
Entry from Alexandria via LeMat-Bulk: a relaxed structure of YInN2F (GGA-PBE).

Cell lengths 4.2576, 4.2576, 4.1274 Å; angles 90.00, 90.00, 90.00 degrees
Last column: nearest neighbours and their distance in Å.
Space group P4/mmm (No. 123)
Inequivalent atoms, fractional coordinates:
Y1 0.0000 0.0000 0.0000 x1  8 N 2.96, 4 F 3.01
In1 0.5000 0.5000 0.5000 x1  2 F 2.06, 4 N 2.13
N1 0.0000 0.5000 0.5000 x2  2 In 2.13
F1 0.5000 0.5000 0.0000 x1  2 In 2.06

The uncorrected formation energy comes out at -501 meV per atom. The calculation puts the density of states at the Fermi level at 2.5 states/eV per cell.

---

[17]
Entry from Alexandria via LeMat-Bulk: a relaxed structure of Tl2TeI (GGA-PBE).

Cell lengths 8.2244, 8.2244, 8.2244 Å; angles 90.00, 90.00, 90.00 degrees
Last column: nearest neighbours and their distance in Å.
Space group Fm-3m (No. 225)
Inequivalent atoms, fractional coordinates:
Tl1 0.2500 0.2500 0.2500 x8  4 Te 3.56, 4 I 3.56
Te1 0.0000 0.0000 0.0000 x4  8 Tl 3.56
I1 0.0000 0.0000 0.5000 x4  8 Tl 3.56

The uncorrected formation energy comes out at -259 meV per atom. The calculation puts the density of states at the Fermi level at 20.4 states/eV per cell.

---

[18]
Entry from Alexandria via LeMat-Bulk: a relaxed structure of KReP3 (GGA-PBE).

Cell lengths 4.7531, 4.7531, 4.7531 Å; angles 90.00, 90.00, 90.00 degrees
Last column: nearest neighbours and their distance in Å.
Space group Pm-3m (No. 221)
Inequivalent atoms, fractional coordinates:
K1 0.0000 0.0000 0.0000 x1  6 P 2.38
Re1 0.5000 0.5000 0.5000 x1  12 P 3.36
P1 0.0000 0.0000 0.5000 x3  2 K 2.38

The formation energy is 3.00 eV/atom. The calculation puts the density of states at the Fermi level at 6.6 states/eV per cell.

---

[19]
Entry from Alexandria via LeMat-Bulk: a relaxed structure of Er2GaSe (GGA-PBE).

Cell lengths 3.9184, 3.9184, 21.7870 Å; angles 90.00, 90.00, 120.00 degrees
Last column: nearest neighbours and their distance in Å.
Space group R-3m (No. 166, hexagonal axes)
Inequivalent atoms, fractional coordinates:
Er1 0.0000 0.0000 0.2489 x6  3 Se 2.89, 3 Ga 2.92
Ga1 0.0000 0.0000 0.0000 x3  6 Er 2.92
Se1 0.0000 0.0000 0.5000 x3  6 Er 2.89

The uncorrected formation energy comes out at -1148 meV per atom. The calculation puts the density of states at the Fermi level at 4.5 states/eV per cell.

---

[20]
Entry from Alexandria via LeMat-Bulk: a relaxed structure of YHo7In4 (GGA-PBE).

Cell lengths 14.4503, 5.6325, 10.4277 Å; angles 90.00, 123.85, 90.00 degrees
Last column: nearest neighbours and their distance in Å.
Space group C2/m (No. 12)
Inequivalent atoms, fractional coordinates:
Y1 0.0000 0.0000 0.0000 x2  2 Ho 2.82
Ho1 0.0000 0.5000 0.0000 x2  2 Y 2.82, 4 In 2.97-3.11
Ho2 0.0636 0.0000 0.3969 x4  3 In 3.15-3.24, 3 Ho 3.36-3.52
Ho3 0.2116 0.0000 0.8772 x4  4 In 3.33-3.38, 6 Ho 3.36-3.65
Ho4 0.2203 0.5000 0.6613 x4  4 In 2.98-3.14
In1 0.0606 0.5000 0.7569 x4  4 Ho 2.98-3.24, 1 In 3.07
In2 0.1812 0.5000 0.3345 x4  6 Ho 2.97-3.33, 1 In 3.07

The formation energy is -0.08 eV/atom. The calculation puts the density of states at the Fermi level at 25.8 states/eV per cell.